1.
Here is an optimized crystal structure of CdPbSI2 from Alexandria via LeMat-Bulk. Energies are from GGA-PBE.

* DOS(E_F): 2.3 states/eV/f.u.
* calculated volume: 190.3 Å³/cell
* crystal system: tetragonal
* formation energy (no corrections): 0.21 eV/atom

```
data_CdPbSI2
_space_group_name_H-M_alt 'P 4/m m m'
_space_group_IT_number 123
_space_group_name_Hall '-P 4 2'
_cell_length_a 5.8636
_cell_length_b 5.8636
_cell_length_c 5.5351
_cell_angle_alpha 90.00
_cell_angle_beta 90.00
_cell_angle_gamma 90.00
loop_
_atom_site_label
_atom_site_type_symbol
_atom_site_fract_x
_atom_site_fract_y
_atom_site_fract_z
Cd1 Cd 0.0000 0.0000 0.0000
Pb1 Pb 0.5000 0.5000 0.0000
S1 S 0.5000 0.5000 0.5000
I1 I 0.0000 0.5000 0.5000
```



2.
Here is an optimized crystal structure of KMg2Mn from Alexandria via LeMat-Bulk. Energies are from GGA-PBE.

* energy of formation: 0.60 eV/atom
* DOS(E_F): 2.6 states/eV/f.u.
* calculated volume: 216.3 Å³/cell
* crystal system: tetragonal
* excess energy over the best structure of this formula in the dataset: 253 meV per atom

```
data_KMg2Mn
_space_group_name_H-M_alt 'I -4 m 2'
_space_group_IT_number 119
_space_group_name_Hall 'I -4 -2'
_cell_length_a 5.3590
_cell_length_b 5.3590
_cell_length_c 7.5310
_cell_angle_alpha 90.00
_cell_angle_beta 90.00
_cell_angle_gamma 90.00
loop_
_atom_site_label
_atom_site_type_symbol
_atom_site_fract_x
_atom_site_fract_y
_atom_site_fract_z
K1 K 0.0000 0.0000 0.0000
Mg1 Mg 0.0000 0.0000 0.5000
Mg2 Mg 0.0000 0.5000 0.7500
Mn1 Mn 0.0000 0.5000 0.2500
```



3.
Here is an optimized crystal structure of Y3Ni6Sn5 from Alexandria via LeMat-Bulk. Energies are from GGA-PBE.

* energy of formation: -0.52 eV/atom
* DOS(E_F): 11.6 states/eV/f.u.
* calculated volume: 521.5 Å³/cell
* crystal system: orthorhombic

```
data_Y3Ni6Sn5
_space_group_name_H-M_alt 'I m m m'
_space_group_IT_number 71
_space_group_name_Hall '-I 2 2'
_cell_length_a 4.3674
_cell_length_b 9.6578
_cell_length_c 12.3651
_cell_angle_alpha 90.00
_cell_angle_beta 90.00
_cell_angle_gamma 90.00
loop_
_atom_site_label
_atom_site_type_symbol
_atom_site_fract_x
_atom_site_fract_y
_atom_site_fract_z
Y1 Y 0.0000 0.0000 0.0000
Y2 Y 0.0000 0.0000 0.3117
Ni1 Ni 0.0000 0.1812 0.5000
Ni2 Ni 0.0000 0.2771 0.1155
Sn1 Sn 0.0000 0.3424 0.3306
Sn2 Sn 0.0000 0.5000 0.0000
```



4.
Here is an optimized crystal structure of TlInMo4 from Alexandria via LeMat-Bulk. Energies are from GGA-PBE.

* energy of formation: 0.57 eV/atom
* DOS(E_F): 4.4 states/eV/f.u.
* calculated volume: 445.1 Å³/cell
* crystal system: cubic

```
data_TlInMo4
_space_group_name_H-M_alt 'F -4 3 m'
_space_group_IT_number 216
_space_group_name_Hall 'F -4 2 3'
_cell_length_a 7.6354
_cell_length_b 7.6354
_cell_length_c 7.6354
_cell_angle_alpha 90.00
_cell_angle_beta 90.00
_cell_angle_gamma 90.00
loop_
_atom_site_label
_atom_site_type_symbol
_atom_site_fract_x
_atom_site_fract_y
_atom_site_fract_z
Tl1 Tl 0.0000 0.0000 0.0000
In1 In 0.2500 0.2500 0.7500
Mo1 Mo 0.1251 0.1251 0.3749
```



5.
Here is an optimized crystal structure of Ac2LaPd from Alexandria via LeMat-Bulk. Energies are from GGA-PBE.

* energy of formation: -0.41 eV/atom
* DOS(E_F): 4.9 states/eV/f.u.
* calculated volume: 568.9 Å³/cell
* crystal system: orthorhombic
* excess energy over the best structure of this formula in the dataset: 0 meV per atom

```
data_Ac2LaPd
_space_group_name_H-M_alt 'P n m a'
_space_group_IT_number 62
_cell_length_a 7.6216
_cell_length_b 10.6866
_cell_length_c 6.9841
_cell_angle_alpha 90.00
_cell_angle_beta 90.00
_cell_angle_gamma 90.00
loop_
_space_group_symop_operation_xyz
'x,y,z'
'-x,-y,-z'
'-x+1/2,-y,z+1/2'
'x+1/2,y,-z+1/2'
'x+1/2,-y+1/2,-z+1/2'
'-x+1/2,y+1/2,z+1/2'
'-x,y+1/2,-z'
'x,-y+1/2,z'
loop_
_atom_site_label
_atom_site_type_symbol
_atom_site_fract_x
_atom_site_fract_y
_atom_site_fract_z
Ac1 Ac 0.1802 0.0651 0.1667
La1 La 0.0316 0.2500 0.6559
Pd1 Pd 0.1240 0.7500 0.9404
```



6.
Here is an optimized crystal structure of TiRuC2 from Alexandria via LeMat-Bulk. Energies are from GGA-PBE.

* energy of formation: 0.51 eV/atom
* DOS(E_F): 1.7 states/eV/f.u.
* calculated volume: 152.4 Å³/cell
* crystal system: cubic
* excess energy over the best structure of this formula in the dataset: 251 meV per atom

```
data_TiRuC2
_space_group_name_H-M_alt 'F m -3 m'
_space_group_IT_number 225
_space_group_name_Hall '-F 4 2 3'
_cell_length_a 5.3411
_cell_length_b 5.3411
_cell_length_c 5.3411
_cell_angle_alpha 90.00
_cell_angle_beta 90.00
_cell_angle_gamma 90.00
loop_
_atom_site_label
_atom_site_type_symbol
_atom_site_fract_x
_atom_site_fract_y
_atom_site_fract_z
Ti1 Ti 0.0000 0.0000 0.0000
Ru1 Ru 0.0000 0.0000 0.5000
C1 C 0.2500 0.2500 0.2500
```



7.
Here is an optimized crystal structure of YAlCo2 from Alexandria via LeMat-Bulk. Energies are from GGA-PBE.

* energy of formation: 0.11 eV/atom
* DOS(E_F): 2.8 states/eV/f.u.
* calculated volume: 306.6 Å³/cell
* crystal system: tetragonal

```
data_YAlCo2
_space_group_name_H-M_alt 'I -4 2 d'
_space_group_IT_number 122
_space_group_name_Hall 'I -4 2bw'
_cell_length_a 4.3355
_cell_length_b 4.3355
_cell_length_c 16.3139
_cell_angle_alpha 90.00
_cell_angle_beta 90.00
_cell_angle_gamma 90.00
loop_
_atom_site_label
_atom_site_type_symbol
_atom_site_fract_x
_atom_site_fract_y
_atom_site_fract_z
Y1 Y 0.0000 0.0000 0.0000
Al1 Al 0.0000 0.0000 0.5000
Co1 Co 0.0724 0.2500 0.6250
```



8.
Here is an optimized crystal structure of Pm12Pr6Y from Alexandria via LeMat-Bulk. Energies are from GGA-PBE.

* energy of formation: 0.30 eV/atom
* DOS(E_F): 32.8 states/eV/f.u.
* calculated volume: 2049.2 Å³/cell
* crystal system: trigonal
* excess energy over the best structure of this formula in the dataset: 166 meV per atom

```
data_Pm12Pr6Y
_space_group_name_H-M_alt 'R -3 m'
_space_group_IT_number 166
_space_group_name_Hall '-R 3 2"'
_cell_length_a 16.6529
_cell_length_b 16.6529
_cell_length_c 8.5326
_cell_angle_alpha 90.00
_cell_angle_beta 90.00
_cell_angle_gamma 120.00
loop_
_atom_site_label
_atom_site_type_symbol
_atom_site_fract_x
_atom_site_fract_y
_atom_site_fract_z
Pm1 Pm 0.0000 0.3791 0.0000
Pm2 Pm 0.0928 0.5464 0.3138
Pr1 Pr 0.0852 0.1704 0.1468
Y1 Y 0.0000 0.0000 0.5000
```